1.
# GeSeS PBE optimized geometry
# ΔE_f (raw)   4 kJ/mol of atoms
# Fermi-level density of states   0.89 states/eV/f.u.
# Energy above the most stable polymorph in this dataset   0.2736 eV per atom
# Magnetic moment   0.00 μB/atom
data_GeSeS
_space_group_name_H-M_alt 'C 1 m 1'
_space_group_IT_number 8
_cell_length_a 6.691
_cell_length_b 3.863
_cell_length_c 6.127
_cell_angle_alpha 90.00
_cell_angle_beta 111.24
_cell_angle_gamma 90.00
loop_
_space_group_symop_operation_xyz
'x,y,z'
'x,-y,z'
'x+1/2,y+1/2,z'
'x+1/2,-y+1/2,z'
loop_
_atom_site_label
_atom_site_type_symbol
_atom_site_fract_x
_atom_site_fract_y
_atom_site_fract_z
_atom_site_occupancy
Ge1 Ge 0.000 0.000 0.000 1
Se1 Se 0.091 0.500 0.771 1
S1 S 0.121 0.000 0.365 1

---

2.
# GeSeS PBE optimized geometry
# ΔE_f (raw)   -14 kJ/mol of atoms
# Fermi-level density of states   1.02 states/eV/f.u.
# Energy above the most stable polymorph in this dataset   0.0932 eV per atom
# Magnetic moment   0.00 μB/atom
data_GeSeS
_space_group_name_H-M_alt 'P 3 m 1'
_space_group_IT_number 156
_cell_length_a 3.5385
_cell_length_b 3.5385
_cell_length_c 6.7269
_cell_angle_alpha 90.00
_cell_angle_beta 90.00
_cell_angle_gamma 120.00
loop_
_space_group_symop_operation_xyz
'x,y,z'
'-y,x-y,z'
'-x+y,-x,z'
'-y,-x,z'
'-x+y,y,z'
'x,x-y,z'
loop_
_atom_site_label
_atom_site_type_symbol
_atom_site_fract_x
_atom_site_fract_y
_atom_site_fract_z
_atom_site_occupancy
Ge1 Ge 0.0000 0.0000 0.0000 1
Se1 Se 0.6667 0.3333 0.2281 1
S1 S 0.3333 0.6667 0.7945 1

---

3.
# GeSeS PBE optimized geometry
# ΔE_f (raw)   3 kJ/mol of atoms
# Fermi-level density of states   0.90 states/eV/f.u.
# Energy above the most stable polymorph in this dataset   0.2680 eV per atom
# Magnetic moment   0.00 μB/atom
data_GeSeS
_space_group_name_H-M_alt 'C 1 m 1'
_space_group_IT_number 8
_cell_length_a 5.919
_cell_length_b 5.479
_cell_length_c 5.125
_cell_angle_alpha 90.00
_cell_angle_beta 116.01
_cell_angle_gamma 90.00
loop_
_space_group_symop_operation_xyz
'x,y,z'
'x,-y,z'
'x+1/2,y+1/2,z'
'x+1/2,-y+1/2,z'
loop_
_atom_site_label
_atom_site_type_symbol
_atom_site_fract_x
_atom_site_fract_y
_atom_site_fract_z
_atom_site_occupancy
Ge1 Ge 0.000 0.000 0.000 1
Se1 Se 0.107 0.500 0.106 1
S1 S 0.115 0.500 0.599 1

---

4.
# GeSe2S6 PBE optimized geometry
# ΔE_f (raw)   7 kJ/mol of atoms
# Fermi-level density of states   1.79 states/eV/f.u.
# Magnetic moment   0.00 μB/atom
data_GeSe2S6
_space_group_name_H-M_alt 'P -1'
_space_group_IT_number 2
_cell_length_a 3.917
_cell_length_b 5.778
_cell_length_c 10.983
_cell_angle_alpha 81.37
_cell_angle_beta 85.85
_cell_angle_gamma 86.24
loop_
_space_group_symop_operation_xyz
'x,y,z'
'-x,-y,-z'
loop_
_atom_site_label
_atom_site_type_symbol
_atom_site_fract_x
_atom_site_fract_y
_atom_site_fract_z
_atom_site_occupancy
Ge1 Ge 0.000 0.000 0.000 1
Se1 Se 0.459 0.071 0.159 1
S1 S 0.149 0.400 0.945 1
S2 S 0.350 0.211 0.682 1
S3 S 0.380 0.854 0.471 1

---

5.
# Ge3SeS PBE optimized geometry
# ΔE_f (raw)   80 kJ/mol of atoms
# Fermi-level density of states   3.12 states/eV/f.u.
# Energy above the most stable polymorph in this dataset   0.2935 eV per atom
# Magnetic moment   0.00 μB/atom
data_Ge3SeS
_space_group_name_H-M_alt 'P m -3 m'
_space_group_IT_number 221
_space_group_name_Hall '-P 4 2 3'
_cell_length_a 5.165
_cell_length_b 5.165
_cell_length_c 5.165
_cell_angle_alpha 90.00
_cell_angle_beta 90.00
_cell_angle_gamma 90.00
loop_
_atom_site_label
_atom_site_type_symbol
_atom_site_fract_x
_atom_site_fract_y
_atom_site_fract_z
_atom_site_occupancy
Ge1 Ge 0.000 0.000 0.500 1
Se1 Se 0.000 0.000 0.000 1
S1 S 0.500 0.500 0.500 1

---

6.
# Ge4Se2S5 PBE optimized geometry
# ΔE_f (raw)   8 kJ/mol of atoms
# Fermi-level density of states   4.33 states/eV/f.u.
# Magnetic moment   0.00 μB/atom
data_Ge4Se2S5
_space_group_name_H-M_alt 'I m m m'
_space_group_IT_number 71
_space_group_name_Hall '-I 2 2'
_cell_length_a 3.493
_cell_length_b 8.234
_cell_length_c 18.077
_cell_angle_alpha 90.00
_cell_angle_beta 90.00
_cell_angle_gamma 90.00
loop_
_atom_site_label
_atom_site_type_symbol
_atom_site_fract_x
_atom_site_fract_y
_atom_site_fract_z
_atom_site_occupancy
Ge1 Ge 0.000 0.000 0.185 1
Ge2 Ge 0.000 0.230 0.500 1
Se1 Se 0.000 0.000 0.323 1
S1 S 0.000 0.298 0.347 1
S2 S 0.000 0.500 0.000 1

---

7.
# Ge2SeS2 PBE optimized geometry
# ΔE_f (raw)   20 kJ/mol of atoms
# Fermi-level density of states   0.46 states/eV/f.u.
# Energy above the most stable polymorph in this dataset   0.3428 eV per atom
# Magnetic moment   0.00 μB/atom
data_Ge2SeS2
_space_group_name_H-M_alt 'P 4/m b m'
_space_group_IT_number 127
_space_group_name_Hall '-P 4 2ab'
_cell_length_a 7.689
_cell_length_b 7.689
_cell_length_c 3.660
_cell_angle_alpha 90.00
_cell_angle_beta 90.00
_cell_angle_gamma 90.00
loop_
_atom_site_label
_atom_site_type_symbol
_atom_site_fract_x
_atom_site_fract_y
_atom_site_fract_z
_atom_site_occupancy
Ge1 Ge 0.183 0.317 0.000 1
Se1 Se 0.000 0.000 0.500 1
S1 S 0.168 0.668 0.500 1

---

8.
# GeSeS PBE optimized geometry
# ΔE_f (raw)   -2 kJ/mol of atoms
# Fermi-level density of states   0.68 states/eV/f.u.
# Energy above the most stable polymorph in this dataset   0.2149 eV per atom
# Magnetic moment   0.00 μB/atom
data_GeSeS
_space_group_name_H-M_alt 'C 1 2/m 1'
_space_group_IT_number 12
_cell_length_a 6.240
_cell_length_b 3.602
_cell_length_c 15.368
_cell_angle_alpha 90.00
_cell_angle_beta 95.74
_cell_angle_gamma 90.00
loop_
_space_group_symop_operation_xyz
'x,y,z'
'-x,-y,-z'
'-x,y,-z'
'x,-y,z'
'x+1/2,y+1/2,z'
'-x+1/2,-y+1/2,-z'
'-x+1/2,y+1/2,-z'
'x+1/2,-y+1/2,z'
loop_
_atom_site_label
_atom_site_type_symbol
_atom_site_fract_x
_atom_site_fract_y
_atom_site_fract_z
_atom_site_occupancy
Ge1 Ge 0.192 0.000 0.099 1
Se1 Se 0.118 0.000 0.805 1
S1 S 0.015 0.500 0.562 1

---

9.
# GeSeS2 PBE optimized geometry
# ΔE_f (raw)   51 kJ/mol of atoms
# Fermi-level density of states   2.49 states/eV/f.u.
# Energy above the most stable polymorph in this dataset   0.4439 eV per atom
# Magnetic moment   0.00 μB/atom
data_GeSeS2
_space_group_name_H-M_alt 'F m -3 m'
_space_group_IT_number 225
_space_group_name_Hall '-F 4 2 3'
_cell_length_a 6.613
_cell_length_b 6.613
_cell_length_c 6.613
_cell_angle_alpha 90.00
_cell_angle_beta 90.00
_cell_angle_gamma 90.00
loop_
_atom_site_label
_atom_site_type_symbol
_atom_site_fract_x
_atom_site_fract_y
_atom_site_fract_z
_atom_site_occupancy
Ge1 Ge 0.000 0.000 0.000 1
Se1 Se 0.000 0.000 0.500 1
S1 S 0.250 0.250 0.250 1

---

10.
# Ge3Se3S PBE optimized geometry
# ΔE_f (raw)   -7 kJ/mol of atoms
# Fermi-level density of states   2.80 states/eV/f.u.
# Magnetic moment   0.00 μB/atom
data_Ge3Se3S
_space_group_name_H-M_alt 'C m c m'
_space_group_IT_number 63
_space_group_name_Hall '-C 2c 2'
_cell_length_a 8.789
_cell_length_b 15.199
_cell_length_c 5.491
_cell_angle_alpha 90.00
_cell_angle_beta 90.00
_cell_angle_gamma 90.00
loop_
_atom_site_label
_atom_site_type_symbol
_atom_site_fract_x
_atom_site_fract_y
_atom_site_fract_z
_atom_site_occupancy
Ge1 Ge 0.000 0.170 0.250 1
Ge2 Ge 0.244 0.415 0.250 1
Se1 Se 0.000 0.173 0.750 1
Se2 Se 0.239 0.413 0.750 1
S1 S 0.000 0.333 0.250 1

---

11.
# GeSeS5 PBE optimized geometry
# ΔE_f (raw)   25 kJ/mol of atoms
# Fermi-level density of states   5.13 states/eV/f.u.
# Magnetic moment   0.00 μB/atom
data_GeSeS5
_space_group_name_H-M_alt 'C 1 2/c 1'
_space_group_IT_number 15
_cell_length_a 7.192
_cell_length_b 9.871
_cell_length_c 9.442
_cell_angle_alpha 90.00
_cell_angle_beta 111.81
_cell_angle_gamma 90.00
loop_
_space_group_symop_operation_xyz
'x,y,z'
'-x,-y,-z'
'-x,y,-z+1/2'
'x,-y,z+1/2'
'x+1/2,y+1/2,z'
'-x+1/2,-y+1/2,-z'
'-x+1/2,y+1/2,-z+1/2'
'x+1/2,-y+1/2,z+1/2'
loop_
_atom_site_label
_atom_site_type_symbol
_atom_site_fract_x
_atom_site_fract_y
_atom_site_fract_z
_atom_site_occupancy
Ge1 Ge 0.000 0.000 0.000 1
Se1 Se 0.000 0.489 0.250 1
S1 S 0.000 0.087 0.250 1
S2 S 0.228 0.347 0.016 1
S3 S 0.229 0.332 0.382 1

---

12.
# GeSeS PBE optimized geometry
# ΔE_f (raw)   -1 kJ/mol of atoms
# Fermi-level density of states   0.05 states/eV/f.u.
# Energy above the most stable polymorph in this dataset   0.2255 eV per atom
# Magnetic moment   0.00 μB/atom
data_GeSeS
_space_group_name_H-M_alt 'C 1 m 1'
_space_group_IT_number 8
_cell_length_a 7.004
_cell_length_b 4.068
_cell_length_c 5.775
_cell_angle_alpha 90.00
_cell_angle_beta 119.62
_cell_angle_gamma 90.00
loop_
_space_group_symop_operation_xyz
'x,y,z'
'x,-y,z'
'x+1/2,y+1/2,z'
'x+1/2,-y+1/2,z'
loop_
_atom_site_label
_atom_site_type_symbol
_atom_site_fract_x
_atom_site_fract_y
_atom_site_fract_z
_atom_site_occupancy
Ge1 Ge 0.000 0.000 0.000 1
Se1 Se 0.411 0.000 0.670 1
S1 S 0.403 0.000 0.256 1

---

13.
# GeSeS PBE optimized geometry
# ΔE_f (raw)   -1 kJ/mol of atoms
# Energy above the most stable polymorph in this dataset   0.2273 eV per atom
# Magnetic moment   0.00 μB/atom
data_GeSeS
_space_group_name_H-M_alt 'P 3 m 1'
_space_group_IT_number 156
_cell_length_a 3.9311
_cell_length_b 3.9311
_cell_length_c 5.4366
_cell_angle_alpha 90.00
_cell_angle_beta 90.00
_cell_angle_gamma 120.00
loop_
_space_group_symop_operation_xyz
'x,y,z'
'-y,x-y,z'
'-x+y,-x,z'
'-y,-x,z'
'-x+y,y,z'
'x,x-y,z'
loop_
_atom_site_label
_atom_site_type_symbol
_atom_site_fract_x
_atom_site_fract_y
_atom_site_fract_z
_atom_site_occupancy
Ge1 Ge 0.0000 0.0000 0.0000 1
Se1 Se 0.3333 0.6667 0.7053 1
S1 S 0.3333 0.6667 0.2762 1

---

14.
# Ge2SeS2 PBE optimized geometry
# ΔE_f (raw)   -13 kJ/mol of atoms
# Energy above the most stable polymorph in this dataset   0.0000 eV per atom
# Magnetic moment   0.00 μB/atom
data_Ge2SeS2
_space_group_name_H-M_alt 'I 41 m d'
_space_group_IT_number 109
_space_group_name_Hall 'I 4bw -2'
_cell_length_a 7.970
_cell_length_b 7.970
_cell_length_c 8.403
_cell_angle_alpha 90.00
_cell_angle_beta 90.00
_cell_angle_gamma 90.00
loop_
_atom_site_label
_atom_site_type_symbol
_atom_site_fract_x
_atom_site_fract_y
_atom_site_fract_z
_atom_site_occupancy
Ge1 Ge 0.000 0.305 0.000 1
Se1 Se 0.000 0.000 0.077 1
S1 S 0.000 0.226 0.713 1

---

15.
# GeSeS PBE optimized geometry
# ΔE_f (raw)   -6 kJ/mol of atoms
# Energy above the most stable polymorph in this dataset   0.1698 eV per atom
# Magnetic moment   0.00 μB/atom
data_GeSeS
_space_group_name_H-M_alt 'P 1 21/c 1'
_space_group_IT_number 14
_cell_length_a 6.999
_cell_length_b 7.261
_cell_length_c 6.567
_cell_angle_alpha 90.00
_cell_angle_beta 105.55
_cell_angle_gamma 90.00
loop_
_space_group_symop_operation_xyz
'x,y,z'
'-x,-y,-z'
'-x,y+1/2,-z+1/2'
'x,-y+1/2,z+1/2'
loop_
_atom_site_label
_atom_site_type_symbol
_atom_site_fract_x
_atom_site_fract_y
_atom_site_fract_z
_atom_site_occupancy
Ge1 Ge 0.181 0.032 0.275 1
Se1 Se 0.196 0.574 0.340 1
S1 S 0.266 0.171 0.657 1

---

16.
# Sm6GeSe2S3 PBE optimized geometry
# ΔE_f (raw)   -173 kJ/mol of atoms
# Fermi-level density of states   4.24 states/eV/f.u.
# Magnetic moment   0.00 μB/atom
data_Sm6GeSe2S3
_space_group_name_H-M_alt 'C 1 2/m 1'
_space_group_IT_number 12
_cell_length_a 17.930
_cell_length_b 4.102
_cell_length_c 8.224
_cell_angle_alpha 90.00
_cell_angle_beta 103.04
_cell_angle_gamma 90.00
loop_
_space_group_symop_operation_xyz
'x,y,z'
'-x,-y,-z'
'-x,y,-z'
'x,-y,z'
'x+1/2,y+1/2,z'
'-x+1/2,-y+1/2,-z'
'-x+1/2,y+1/2,-z'
'x+1/2,-y+1/2,z'
loop_
_atom_site_label
_atom_site_type_symbol
_atom_site_fract_x
_atom_site_fract_y
_atom_site_fract_z
_atom_site_occupancy
Sm1 Sm 0.002 0.000 0.251 1
Sm2 Sm 0.160 0.500 0.093 1
Sm3 Sm 0.165 0.500 0.571 1
Ge1 Ge 0.000 0.500 0.500 1
Se1 Se 0.169 0.000 0.837 1
S1 S 0.000 0.500 0.000 1
S2 S 0.168 0.000 0.333 1

---

17.
# Sm6Ge2SeS3 PBE optimized geometry
# ΔE_f (raw)   -159 kJ/mol of atoms
# Fermi-level density of states   4.13 states/eV/f.u.
# Magnetic moment   0.00 μB/atom
data_Sm6Ge2SeS3
_space_group_name_H-M_alt 'C 1 2/m 1'
_space_group_IT_number 12
_cell_length_a 17.955
_cell_length_b 4.138
_cell_length_c 8.254
_cell_angle_alpha 90.00
_cell_angle_beta 102.71
_cell_angle_gamma 90.00
loop_
_space_group_symop_operation_xyz
'x,y,z'
'-x,-y,-z'
'-x,y,-z'
'x,-y,z'
'x+1/2,y+1/2,z'
'-x+1/2,-y+1/2,-z'
'-x+1/2,y+1/2,-z'
'x+1/2,-y+1/2,z'
loop_
_atom_site_label
_atom_site_type_symbol
_atom_site_fract_x
_atom_site_fract_y
_atom_site_fract_z
_atom_site_occupancy
Sm1 Sm 0.002 0.000 0.261 1
Sm2 Sm 0.166 0.500 0.584 1
Sm3 Sm 0.170 0.500 0.088 1
Ge1 Ge 0.166 0.000 0.332 1
Se1 Se 0.000 0.500 0.000 1
S1 S 0.000 0.500 0.500 1
S2 S 0.165 0.000 0.835 1

---

18.
# Sm4GeSe2S PBE optimized geometry
# ΔE_f (raw)   -164 kJ/mol of atoms
# Fermi-level density of states   2.94 states/eV/f.u.
# Magnetic moment   0.00 μB/atom
data_Sm4GeSe2S
_space_group_name_H-M_alt 'P 1 2/m 1'
_space_group_IT_number 10
_cell_length_a 7.159
_cell_length_b 4.156
_cell_length_c 7.276
_cell_angle_alpha 90.00
_cell_angle_beta 109.42
_cell_angle_gamma 90.00
loop_
_space_group_symop_operation_xyz
'x,y,z'
'-x,-y,-z'
'-x,y,-z'
'x,-y,z'
loop_
_atom_site_label
_atom_site_type_symbol
_atom_site_fract_x
_atom_site_fract_y
_atom_site_fract_z
_atom_site_occupancy
Sm1 Sm 0.245 0.000 0.234 1
Sm2 Sm 0.254 0.500 0.762 1
Ge1 Ge 0.500 0.000 0.000 1
Se1 Se 0.000 0.000 0.500 1
Se2 Se 0.500 0.500 0.500 1
S1 S 0.000 0.500 0.000 1

---

19.
# Sm8GeSe4S3 PBE optimized geometry
# ΔE_f (raw)   -175 kJ/mol of atoms
# Fermi-level density of states   5.50 states/eV/f.u.
# Magnetic moment   0.00 μB/atom
data_Sm8GeSe4S3
_space_group_name_H-M_alt 'R -3 m'
_space_group_IT_number 166
_space_group_name_Hall '-R 3 2"'
_cell_length_a 8.1992
_cell_length_b 8.1992
_cell_length_c 20.5235
_cell_angle_alpha 90.00
_cell_angle_beta 90.00
_cell_angle_gamma 120.00
loop_
_atom_site_label
_atom_site_type_symbol
_atom_site_fract_x
_atom_site_fract_y
_atom_site_fract_z
_atom_site_occupancy
Sm1 Sm 0.0000 0.0000 0.2421 1
Sm2 Sm 0.0021 0.5010 0.7561 1
Ge1 Ge 0.0000 0.0000 0.5000 1
Se1 Se 0.0000 0.0000 0.0000 1
Se2 Se 0.0000 0.5000 0.0000 1
S1 S 0.0000 0.5000 0.5000 1

---

20.
# Sm6GeSe3S2 PBE optimized geometry
# ΔE_f (raw)   -172 kJ/mol of atoms
# Fermi-level density of states   5.08 states/eV/f.u.
# Magnetic moment   0.00 μB/atom
data_Sm6GeSe3S2
_space_group_name_H-M_alt 'C 1 2/m 1'
_space_group_IT_number 12
_cell_length_a 7.121
_cell_length_b 12.328
_cell_length_c 7.259
_cell_angle_alpha 90.00
_cell_angle_beta 109.05
_cell_angle_gamma 90.00
loop_
_space_group_symop_operation_xyz
'x,y,z'
'-x,-y,-z'
'-x,y,-z'
'x,-y,z'
'x+1/2,y+1/2,z'
'-x+1/2,-y+1/2,-z'
'-x+1/2,y+1/2,-z'
'x+1/2,-y+1/2,z'
loop_
_atom_site_label
_atom_site_type_symbol
_atom_site_fract_x
_atom_site_fract_y
_atom_site_fract_z
_atom_site_occupancy
Sm1 Sm 0.242 0.000 0.233 1
Sm2 Sm 0.245 0.332 0.233 1
Ge1 Ge 0.000 0.500 0.000 1
Se1 Se 0.000 0.000 0.500 1
Se2 Se 0.000 0.334 0.500 1
S1 S 0.000 0.167 0.000 1